# RbNd2Fe2O6

Crystalline RbNd2Fe2O6 at its relaxed geometry (PBE with a Hubbard U, Alexandria via LeMat-Bulk).

The structure belongs to space group P-1 (No. 2); the cell edges are 6.4081, 6.5203 and 6.5796 Å and the angles 112.21°, 116.68° and 98.74°. The asymmetric unit holds Rb at (0.0000, 0.0000, 0.0000), Nd at (0.3064, 0.9478, 0.6415), Fe at (0.4498, 0.4565, 0.6904), O at (0.1225, 0.2236, 0.5206), O at (0.3714, 0.7438, 0.3113) and O at (0.4705, 0.2197, 0.1056).

The calculation puts the raw total energy at -6.83 eV/atom. As for the theoretical density: 4.61 g/cm³.